# 1
Entry from Alexandria: RbNaCu after structural relaxation (PBE).

```
data_RbNaCu
_chemical_formula_sum 'Rb2 Na2 Cu2'
_cell_length_a 4.311
_cell_length_b 7.138
_cell_length_c 7.794
_cell_angle_alpha 86.56
_cell_angle_beta 89.77
_cell_angle_gamma 73.43
_space_group_name_H-M_alt 'P 1'
_space_group_IT_number 1
_space_group_name_Hall 'P 1'
loop_
_atom_site_label
_atom_site_fract_x
_atom_site_fract_y
_atom_site_fract_z
_atom_site_occupancy
Rb1 0.000 0.000 0.000 1
Rb2 0.421 0.167 0.468 1
Na1 0.257 0.493 0.056 1
Na2 0.696 0.615 0.666 1
Cu1 0.149 0.712 0.396 1
Cu2 0.676 0.655 0.281 1
```

Summary:
The energy above the lowest structure with this stoichiometry comes out at 21 meV/atom. The calculation puts the total energy at -1.899 eV per atom. The formation energy from the elements is 229.1 meV per atom. The crystal system is triclinic.

# 2
Entry from Alexandria: Rb2Na2Cu after structural relaxation (PBE).

```
data_Rb2Na2Cu
_chemical_formula_sum 'Rb4 Na4 Cu2'
_cell_length_a 4.541
_cell_length_b 4.541
_cell_length_c 23.147
_cell_angle_alpha 90.00
_cell_angle_beta 90.00
_cell_angle_gamma 90.00
_space_group_name_H-M_alt 'I 4/m m m'
_space_group_IT_number 139
_space_group_name_Hall '-I 4 2'
loop_
_atom_site_label
_atom_site_fract_x
_atom_site_fract_y
_atom_site_fract_z
_atom_site_occupancy
Rb1 0.000 0.000 0.086 1
Na1 0.000 0.500 0.250 1
Cu1 0.000 0.000 0.500 1
```

Summary:
The energy above the lowest structure with this stoichiometry comes out at 0 meV/atom. The calculation puts the total energy at -1.470 eV per atom. The formation energy from the elements is 263.6 meV per atom. The crystal system is tetragonal.

# 3
Entry from Alexandria: Rb3NaCu after structural relaxation (PBE).

```
data_Rb3NaCu
_chemical_formula_sum 'Rb3 Na1 Cu1'
_cell_length_a 6.807
_cell_length_b 6.807
_cell_length_c 6.807
_cell_angle_alpha 90.00
_cell_angle_beta 90.00
_cell_angle_gamma 90.00
_space_group_name_H-M_alt 'P m -3 m'
_space_group_IT_number 221
_space_group_name_Hall '-P 4 2 3'
loop_
_atom_site_label
_atom_site_fract_x
_atom_site_fract_y
_atom_site_fract_z
_atom_site_occupancy
Rb1 0.000 0.000 0.500 1
Na1 0.500 0.500 0.500 1
Cu1 0.000 0.000 0.000 1
```

Summary:
The energy above the lowest structure with this stoichiometry comes out at 0 meV/atom. The calculation puts the total energy at -1.427 eV per atom. The formation energy from the elements is 237.1 meV per atom. The crystal system is cubic.